[1]
The following is a DFT calculation (GGA-PBE) of crystalline Li2CaW at its relaxed geometry.

Values from the calculation:
Electronic total energy, Ry per atom: -0.2746
Fermi-level density of states, states/eV per cell: 3.889
E above lowest polymorph, meV/atom: 403
Crystal system: cubic
Density, g cm⁻³: 4.90

Unit cell a=4.849 b=4.849 c=4.849 alpha=60.00 beta=60.00 gamma=60.00
Each line ends with the local moment (μB).
Fractional positions:
Ca1 0.000 0.000 0.000  0.03
W1 0.500 0.500 0.500  2.05
Li1 0.250 0.250 0.250  -0.01
Li2 0.750 0.750 0.750  -0.01

---

[2]
The following is a DFT calculation (GGA-PBE) of crystalline Li2CaW at its relaxed geometry.

Values from the calculation:
Electronic total energy, Ry per atom: -0.2904
Fermi-level density of states, states/eV per cell: 4.394
E above lowest polymorph, meV/atom: 187
Crystal system: orthorhombic
Density, g cm⁻³: 5.39

Unit cell a=5.871 b=5.871 c=5.871 alpha=152.82 beta=127.00 gamma=60.56
Fractional positions:
Ca1 0.238 0.738 0.500
Li1 0.975 0.975 0.000
Li2 0.764 0.264 0.500
W1 0.522 0.522 0.000

---

[3]
The following is a DFT calculation (GGA-PBE) of crystalline Li2CaW at its relaxed geometry.

Values from the calculation:
Electronic total energy, Ry per atom: -0.2607
Fermi-level density of states, states/eV per cell: 4.640
E above lowest polymorph, meV/atom: 591
Crystal system: tetragonal
Density, g cm⁻³: 4.68

Unit cell a=7.564 b=7.564 c=6.108 alpha=51.74 beta=51.74 gamma=90.00
Each line ends with the local moment (μB).
Fractional positions:
Ca1 0.500 0.500 0.000  0.07
Ca2 0.250 0.750 0.500  0.07
W1 0.000 0.000 0.000  1.98
W2 0.750 0.250 0.500  1.98
Li1 0.648 0.125 0.250  0.03
Li2 0.102 0.625 0.250  0.03
Li3 0.375 0.352 0.750  0.04
Li4 0.875 0.898 0.750  0.04

---

[4]
The following is a DFT calculation (GGA-PBE) of crystalline Li2CaY at its relaxed geometry.

Values from the calculation:
Electronic total energy, Ry per atom: -0.2113
Fermi-level density of states, states/eV per cell: 4.374
E above lowest polymorph, meV/atom: 118
Crystal system: monoclinic
Density, g cm⁻³: 1.97

Unit cell a=5.736 b=5.736 c=6.506 alpha=83.50 beta=83.50 gamma=34.55
Fractional positions:
Ca1 0.750 0.750 0.750
Li1 0.996 0.996 0.025
Li2 0.504 0.504 0.475
Y1 0.250 0.250 0.250

---

[5]
The following is a DFT calculation (GGA-PBE) of crystalline Li2CaY at its relaxed geometry.

Values from the calculation:
Electronic total energy, Ry per atom: -0.2097
Fermi-level density of states, states/eV per cell: 4.297
E above lowest polymorph, meV/atom: 139
Crystal system: tetragonal
Density, g cm⁻³: 2.05

Unit cell a=6.345 b=6.345 c=6.345 alpha=137.43 beta=137.43 gamma=61.77
Each line ends with the local moment (μB).
Fractional positions:
Ca1 0.750 0.250 0.500  0.06
Li1 0.000 0.000 0.000  0.01
Li2 0.250 0.750 0.500  0.00
Y1 0.500 0.500 0.000  0.23

---

[6]
The following is a DFT calculation (GGA-PBE) of crystalline LiCaY2 at its relaxed geometry.

Values from the calculation:
Electronic total energy, Ry per atom: -0.2942
Fermi-level density of states, states/eV per cell: 3.913
E above lowest polymorph, meV/atom: 134
Crystal system: tetragonal
Density, g cm⁻³: 3.01

Unit cell a=5.537 b=5.537 c=4.048 alpha=90.00 beta=90.00 gamma=90.00
Fractional positions:
Ca1 0.500 0.000 0.500
Li1 0.000 0.500 0.500
Y1 0.000 0.000 0.000
Y2 0.500 0.500 0.000

---

[7]
The following is a DFT calculation (GGA-PBE) of crystalline LiCaY2 at its relaxed geometry.

Values from the calculation:
Electronic total energy, Ry per atom: -0.2914
Fermi-level density of states, states/eV per cell: 6.452
E above lowest polymorph, meV/atom: 173
Crystal system: tetragonal
Density, g cm⁻³: 2.93

Unit cell a=6.167 b=6.167 c=6.167 alpha=131.89 beta=131.89 gamma=70.40
Each line ends with the local moment (μB).
Fractional positions:
Ca1 0.500 0.500 0.000  0.02
Li1 0.750 0.250 0.500  0.01
Y1 0.000 0.000 0.000  0.13
Y2 0.250 0.750 0.500  0.13

---

[8]
The following is a DFT calculation (GGA-PBE) of crystalline Li2CaY at its relaxed geometry.

Values from the calculation:
Electronic total energy, Ry per atom: -0.2177
Fermi-level density of states, states/eV per cell: 5.032
E above lowest polymorph, meV/atom: 30
Crystal system: monoclinic
Density, g cm⁻³: 2.12

Unit cell a=8.595 b=5.487 c=3.716 alpha=89.90 beta=64.54 gamma=129.62
Fractional positions:
Ca1 0.500 0.500 0.000
Li1 0.000 0.000 0.000
Li2 0.500 0.000 0.500
Y1 0.000 0.500 0.500